# 1
# SiRhC2

Crystalline SiRhC2 at its relaxed geometry (GGA-PBE, the Alexandria database).

## Properties
- Crystal system: monoclinic
- ΔE_f (raw): 1.92 eV per formula unit

Cell lengths 7.5771, 3.0228, 5.5685 Å; angles 90.00, 131.68, 90.00 degrees
Closest atoms and distances in Å follow each position.
Space group Cm (No. 8)
Unique sites:
Si (0.0000, 0.0000, 0.0000) [2 per cell]  3 C 1.87-1.94
Rh (0.0209, 0.0000, 0.6004) [2 per cell]  3 C 2.04-2.14
C (0.3402, 0.0000, 0.2715) [2 per cell]  1 C 1.47
C (0.3801, 0.0000, 0.0475) [2 per cell]  1 C 1.47

---

# 2
# SiRhC2

Crystalline SiRhC2 at its relaxed geometry (GGA-PBE, the Alexandria database).

## Properties
- Crystal system: monoclinic
- ΔE_f (raw): 2.03 eV per formula unit

Cell lengths 3.9872, 2.9317, 4.0082 Å; angles 90.00, 107.33, 90.00 degrees
Closest atoms and distances in Å follow each position.
Space group Pm (No. 6)
Unique sites:
Si (0.0000, 0.0000, 0.0000) [1 per cell]  4 C 1.94-2.04
Rh (0.7934, 0.5000, 0.4456) [1 per cell]  3 C 2.10-2.35
C (0.2932, 0.5000, 0.9382) [1 per cell]  1 C 1.38
C (0.6255, 0.5000, 0.8959) [1 per cell]  1 C 1.38

---

# 3
# Si2TcRhC

Crystalline Si2TcRhC at its relaxed geometry (GGA-PBE, the Alexandria database).

## Properties
- Crystal system: tetragonal
- ΔE_f (raw): 9.75 eV per formula unit

Cell lengths 4.5562, 4.5562, 4.7645 Å; angles 90.00, 90.00, 90.00 degrees
Closest atoms and distances in Å follow each position.
Space group P4/mmm (No. 123)
Unique sites:
Si (0.0000, 0.5000, 0.0000) [2 per cell]  2 Tc 2.28
Tc (0.0000, 0.0000, 0.0000) [1 per cell]  4 Si 2.28, 2 Rh 2.38
Rh (0.0000, 0.0000, 0.5000) [1 per cell]  2 Tc 2.38
C (0.5000, 0.5000, 0.5000) [1 per cell]  4 Rh 3.22, 8 Si 3.30

---

# 4
# Si2TcRhC

Crystalline Si2TcRhC at its relaxed geometry (GGA-PBE, the Alexandria database).

## Properties
- Crystal system: tetragonal
- ΔE_f (raw): 9.40 eV per formula unit

Cell lengths 4.3670, 4.3670, 5.2987 Å; angles 90.00, 90.00, 90.00 degrees
Closest atoms and distances in Å follow each position.
Space group P4/mmm (No. 123)
Unique sites:
Si (0.0000, 0.5000, 0.0000) [2 per cell]  2 Rh 2.18
Tc (0.0000, 0.0000, 0.5000) [1 per cell]  2 Rh 2.65
Rh (0.0000, 0.0000, 0.0000) [1 per cell]  4 Si 2.18
C (0.5000, 0.5000, 0.5000) [1 per cell]  4 Tc 3.09, 8 Si 3.43

---

Computed theoretical density, in the same sequence as the records: 5.4 5.8 4.5 4.4 g/cm3.
Computed VASP energy, in the same sequence as the records: -7.326 -7.298 -5.607 -5.677 eV/atom.
Computed D(E_F), in the same sequence as the records: 2.410 1.452 3.832 2.048 states/eV per cell.